Entry 1:
Computed, not measured: BaHo2O4 after structural relaxation at the PBE level of DFT.

As for the crystal system: orthorhombic. The calculation puts the density of states at the Fermi level at 0.00 states/eV per cell. The calculation puts the formation energy from raw total energies at -3.30 eV per atom. As for the electronic total energy: -216.07 eV per cell. Its calculated volume is 15.8 A^3/atom.

```
BaHo2O4
1.0
3.4653 0.0000 0.0000
0.0000 10.4738 0.0000
0.0000 0.0000 12.1582
O Ho Ba
16 8 4
Direct
0.2500 0.4302 0.4261 O
0.7500 0.7906 0.8426 O
0.2500 0.1145 0.4820 O
0.2500 0.6145 0.0180 O
0.2500 0.7094 0.3426 O
0.7500 0.3855 0.9820 O
0.7500 0.4810 0.2173 O
0.7500 0.2906 0.6574 O
0.7500 0.0698 0.9261 O
0.7500 0.9810 0.2827 O
0.7500 0.8855 0.5180 O
0.2500 0.0190 0.7173 O
0.2500 0.2094 0.1574 O
0.2500 0.9302 0.0739 O
0.2500 0.5190 0.7827 O
0.7500 0.5698 0.5739 O
0.2500 0.4224 0.1089 Ho
0.7500 0.5734 0.3892 Ho
0.2500 0.4266 0.6108 Ho
0.2500 0.9266 0.8892 Ho
0.7500 0.0734 0.1108 Ho
0.2500 0.9224 0.3911 Ho
0.7500 0.0775 0.6089 Ho
0.7500 0.5776 0.8911 Ho
0.2500 0.2533 0.8510 Ba
0.7500 0.7467 0.1490 Ba
0.7500 0.2467 0.3510 Ba
0.2500 0.7533 0.6490 Ba
```

---

Entry 2:
Computed, not measured: BaHo2OsO8 after structural relaxation at the PBE level of DFT.

As for the crystal system: monoclinic. The calculation puts the density of states at the Fermi level at 0.78 states/eV per cell. The calculation puts the formation energy from raw total energies at -2.24 eV per atom. As for the electronic total energy: -88.88 eV per cell. Its calculated volume is 15.9 A^3/atom.

```
BaHo2OsO8
1.0
5.1577 0.1707 -0.0024
0.2057 5.1518 -0.0045
0.0063 0.0093 7.2006
O Os Ba Ho
8 1 1 2
Direct
0.7511 0.7526 0.0002 O
0.3329 0.3303 0.5000 O
0.8101 0.1914 0.8161 O
0.1899 0.8086 0.1839 O
0.2489 0.2474 0.9998 O
0.6671 0.6697 0.5000 O
0.1899 0.8086 0.8161 O
0.8101 0.1914 0.1839 O
0.0000 0.0000 0.0000 Os
0.0000 0.0000 0.5000 Ba
0.4998 0.4998 0.7359 Ho
0.5002 0.5002 0.2641 Ho
```

---

Entry 3:
Computed, not measured: BaHoP2O8 after structural relaxation at the PBE level of DFT.

As for the crystal system: trigonal. The calculation puts the density of states at the Fermi level at 9.42 states/eV per cell. The calculation puts the formation energy from raw total energies at -2.70 eV per atom. As for the electronic total energy: -89.39 eV per cell. Its calculated volume is 16.5 A^3/atom.

```
BaHoP2O8
1.0
5.4314 0.0000 0.0000
-2.7157 4.7037 0.0000
0.0000 0.0000 7.7508
P O Ho Ba
2 8 1 1
Direct
0.6667 0.3333 0.2450 P
0.3333 0.6667 0.7550 P
0.8210 0.1774 0.3109 O
0.8226 0.6436 0.3109 O
0.1774 0.3564 0.6891 O
0.1790 0.8226 0.6891 O
0.6436 0.8210 0.6891 O
0.3564 0.1790 0.3109 O
0.3333 0.6667 0.9547 O
0.6667 0.3333 0.0453 O
0.0000 0.0000 0.5000 Ho
0.0000 0.0000 0.0000 Ba
```

---

Entry 4:
Computed, not measured: Ba3HoPa2O9 after structural relaxation at the PBE level of DFT.

As for the crystal system: trigonal. The calculation puts the density of states at the Fermi level at 6.88 states/eV per cell. The calculation puts the formation energy from raw total energies at -3.28 eV per atom. As for the electronic total energy: -123.20 eV per cell. Its calculated volume is 17.7 A^3/atom.

```
Ba3HoPa2O9
1.0
6.2947 0.0000 0.0000
-3.1474 5.4514 0.0000
0.0000 0.0000 7.7230
O Ba Pa Ho
9 3 2 1
Direct
0.0000 0.5000 0.0000 O
0.1687 0.8313 0.3328 O
0.5000 0.0000 0.0000 O
0.8313 0.1687 0.6672 O
0.6625 0.8313 0.3328 O
0.8313 0.6625 0.6672 O
0.5000 0.5000 0.0000 O
0.1687 0.3375 0.3328 O
0.3375 0.1687 0.6672 O
0.0000 0.0000 0.0000 Ba
0.3333 0.6667 0.6540 Ba
0.6667 0.3333 0.3460 Ba
0.6667 0.3333 0.8297 Pa
0.3333 0.6667 0.1703 Pa
0.0000 0.0000 0.5000 Ho
```

---

Entry 5:
Computed, not measured: Ba2HoPaO6 after structural relaxation at the PBE level of DFT.

As for the crystal system: cubic. The calculation puts the density of states at the Fermi level at 0.00 states/eV per cell. The calculation puts the formation energy from raw total energies at -3.34 eV per atom. As for the electronic total energy: -81.05 eV per cell. Its calculated volume is 17.3 A^3/atom.

```
Ba2HoPaO6
1.0
-2.4945 5.7088 0.5548
-1.6053 -0.1138 -6.0441
-5.9442 0.9920 -1.6763
O Ba Pa Ho
6 2 1 1
Direct
0.2465 0.2465 0.5070 O
0.7534 0.2466 0.0000 O
0.7535 0.7535 0.4930 O
0.2466 0.7534 0.0000 O
0.2466 0.2466 0.0000 O
0.7534 0.7534 0.0000 O
0.2500 0.7500 0.5000 Ba
0.7500 0.2500 0.5000 Ba
0.0000 0.0000 0.0000 Pa
0.5000 0.5000 0.0000 Ho
```

---

Entry 6:
Computed, not measured: BaHoPa2O8 after structural relaxation at the PBE level of DFT.

As for the crystal system: tetragonal. The calculation puts the density of states at the Fermi level at 7.31 states/eV per cell. The calculation puts the formation energy from raw total energies at -3.25 eV per atom. As for the electronic total energy: -104.18 eV per cell. Its calculated volume is 14.2 A^3/atom.

```
BaHoPa2O8
1.0
-5.2716 -0.0726 -1.8372
1.8372 0.0094 -5.2721
1.7875 -5.4469 3.5694
Ba Pa O Ho
1 2 8 1
Direct
0.7500 0.2500 0.5000 Ba
0.5000 0.5000 0.0000 Pa
0.2500 0.7500 0.5000 Pa
0.3533 0.8428 0.2375 O
0.6053 0.6467 0.7625 O
0.1582 0.6460 0.7640 O
0.8841 0.3947 0.2375 O
0.6058 0.1181 0.7640 O
0.1572 0.1159 0.7625 O
0.8819 0.8418 0.2360 O
0.3540 0.3942 0.2360 O
0.0000 0.0000 0.0000 Ho
```

---

Entry 7:
Computed, not measured: Ba2Ho3PbO8 after structural relaxation at the PBE level of DFT.

As for the crystal system: trigonal. The calculation puts the density of states at the Fermi level at 2.62 states/eV per cell. The calculation puts the formation energy from raw total energies at -2.77 eV per atom. As for the electronic total energy: -99.67 eV per cell. Its calculated volume is 19.1 A^3/atom.

```
Ba2Ho3PbO8
1.0
6.9819 0.0000 0.0001
3.4910 6.0466 0.0000
3.4910 2.0155 6.3205
O Ba Ho Pb
8 2 3 1
Direct
0.7613 0.7613 0.2022 O
0.6898 0.2503 0.8095 O
0.2697 0.2697 0.1909 O
0.2751 0.7613 0.2022 O
0.7174 0.7174 0.8477 O
0.2503 0.2503 0.8095 O
0.7613 0.2751 0.2022 O
0.2503 0.6898 0.8095 O
0.4987 0.4987 0.5039 Ba
0.1244 0.1244 0.6267 Ba
0.0105 0.4956 0.9983 Ho
0.4956 0.4956 0.9983 Ho
0.4956 0.0105 0.9983 Ho
0.8924 0.8924 0.3228 Pb
```

---

Entry 8:
Computed, not measured: BaHo4Pb3O12 after structural relaxation at the PBE level of DFT.

As for the crystal system: cubic. The calculation puts the density of states at the Fermi level at 9.31 states/eV per cell. The calculation puts the formation energy from raw total energies at -2.34 eV per atom. As for the electronic total energy: -137.58 eV per cell. Its calculated volume is 15.6 A^3/atom.

```
BaHo4Pb3O12
1.0
-2.9491 -5.7871 3.5629
6.5723 1.6540 2.9919
-4.5246 5.8354 0.5986
O Pb Ho Ba
12 3 4 1
Direct
0.6950 0.8190 0.5140 O
0.8190 0.1240 0.3050 O
0.3050 0.8190 0.1240 O
0.1810 0.8760 0.6950 O
0.1240 0.3050 0.8190 O
0.3050 0.1810 0.4860 O
0.5140 0.6950 0.8190 O
0.8760 0.6950 0.1810 O
0.8190 0.5140 0.6950 O
0.6950 0.1810 0.8760 O
0.4860 0.3050 0.1810 O
0.1810 0.4860 0.3050 O
0.0000 0.5000 0.5000 Pb
0.5000 0.5000 0.0000 Pb
0.5000 0.0000 0.5000 Pb
0.0000 0.5000 0.0000 Ho
0.0000 0.0000 0.5000 Ho
0.5000 0.0000 0.0000 Ho
0.5000 0.5000 0.5000 Ho
0.0000 0.0000 0.0000 Ba
```